(1)
## YZn2Cd (GGA-PBE)

Data for a geometry-optimized YZn2Cd structure.

Cell and atoms, written as CIF:
```
data_YZn2Cd
_chemical_formula_sum 'Y1 Zn2 Cd1'
_cell_length_a 3.624
_cell_length_b 4.404
_cell_length_c 5.591
_cell_angle_alpha 90.00
_cell_angle_beta 108.80
_cell_angle_gamma 90.00
_symmetry_space_group_name_H-M 'P 1'
_symmetry_Int_Tables_number 1
loop_
_symmetry_equiv_pos_as_xyz
'x,y,z'
loop_
_atom_site_label
_atom_site_type_symbol
_atom_site_fract_x
_atom_site_fract_y
_atom_site_fract_z
Y1 Y 0.000 0.000 0.000
Zn1 Zn 0.594 0.500 0.188
Zn2 Zn 0.719 0.000 0.443
Cd1 Cd 0.311 0.500 0.623
```

## Properties
- Total energy: -2.70 eV/atom
- Density: 6.5 g/cm3
- Total moment: 0.0 μB per formula unit
- Formation energy from the elements: -0.85 eV/f.u.

***

(2)
## Y2Zn7Cd (GGA-PBE)

Data for a geometry-optimized Y2Zn7Cd structure.

Cell and atoms, written as CIF:
```
data_Y2Zn7Cd
_chemical_formula_sum 'Y2 Zn7 Cd1'
_cell_length_a 4.140
_cell_length_b 4.140
_cell_length_c 11.105
_cell_angle_alpha 90.00
_cell_angle_beta 90.00
_cell_angle_gamma 90.00
_symmetry_space_group_name_H-M 'P 1'
_symmetry_Int_Tables_number 1
loop_
_symmetry_equiv_pos_as_xyz
'x,y,z'
loop_
_atom_site_label
_atom_site_type_symbol
_atom_site_fract_x
_atom_site_fract_y
_atom_site_fract_z
Y1 Y 0.000 0.500 0.235
Y2 Y 0.500 0.000 0.765
Zn1 Zn 0.000 0.000 0.000
Zn2 Zn 0.000 0.500 0.651
Zn3 Zn 0.000 0.500 0.870
Zn4 Zn 0.500 0.000 0.130
Zn5 Zn 0.500 0.000 0.349
Zn6 Zn 0.500 0.500 0.000
Zn7 Zn 0.500 0.500 0.500
Cd1 Cd 0.000 0.000 0.500
```

## Properties
- Total energy: -2.56 eV/atom
- Density: 6.5 g/cm3
- Total moment: 0.0 μB per formula unit
- Formation energy from the elements: -2.83 eV/f.u.

***

(3)
## Y2ZnCd (GGA-PBE)

Data for a geometry-optimized Y2ZnCd structure.

Cell and atoms, written as CIF:
```
data_Y2ZnCd
_chemical_formula_sum 'Y2 Zn1 Cd1'
_cell_length_a 3.875
_cell_length_b 3.875
_cell_length_c 6.810
_cell_angle_alpha 90.00
_cell_angle_beta 90.00
_cell_angle_gamma 90.00
_symmetry_space_group_name_H-M 'P 1'
_symmetry_Int_Tables_number 1
loop_
_symmetry_equiv_pos_as_xyz
'x,y,z'
loop_
_atom_site_label
_atom_site_type_symbol
_atom_site_fract_x
_atom_site_fract_y
_atom_site_fract_z
Y1 Y 0.000 0.000 0.000
Y2 Y 0.500 0.500 0.313
Zn1 Zn 0.000 0.000 0.520
Cd1 Cd 0.500 0.500 0.768
```

## Properties
- Total energy: -3.94 eV/atom
- Density: 5.8 g/cm3
- Total moment: 0.6 μB per formula unit
- E above lowest polymorph: 202 meV per atom
- Formation energy from the elements: -0.63 eV/f.u.

***

(4)
## YZn2Cd (GGA-PBE)

Data for a geometry-optimized YZn2Cd structure.

Cell and atoms, written as CIF:
```
data_YZn2Cd
_chemical_formula_sum 'Y2 Zn4 Cd2'
_cell_length_a 6.277
_cell_length_b 6.277
_cell_length_c 6.277
_cell_angle_alpha 103.87
_cell_angle_beta 103.87
_cell_angle_gamma 121.37
_symmetry_space_group_name_H-M 'P 1'
_symmetry_Int_Tables_number 1
loop_
_symmetry_equiv_pos_as_xyz
'x,y,z'
loop_
_atom_site_label
_atom_site_type_symbol
_atom_site_fract_x
_atom_site_fract_y
_atom_site_fract_z
Y1 Y 0.000 0.000 0.000
Y2 Y 0.750 0.250 0.500
Zn1 Zn 0.153 0.125 0.528
Zn2 Zn 0.375 0.847 0.972
Zn3 Zn 0.597 0.625 0.472
Zn4 Zn 0.875 0.403 0.028
Cd1 Cd 0.250 0.750 0.500
Cd2 Cd 0.500 0.500 0.000
```

## Properties
- Total energy: -2.49 eV/atom
- Density: 6.0 g/cm3
- Total moment: 0.0 μB per formula unit
- Formation energy from the elements: -0.03 eV/f.u.

***

(5)
## YZn2Cd4 (GGA-PBE)

Data for a geometry-optimized YZn2Cd4 structure.

Cell and atoms, written as CIF:
```
data_YZn2Cd4
_chemical_formula_sum 'Y1 Zn2 Cd4'
_cell_length_a 8.501
_cell_length_b 8.501
_cell_length_c 4.078
_cell_angle_alpha 90.00
_cell_angle_beta 90.00
_cell_angle_gamma 149.55
_symmetry_space_group_name_H-M 'P 1'
_symmetry_Int_Tables_number 1
loop_
_symmetry_equiv_pos_as_xyz
'x,y,z'
loop_
_atom_site_label
_atom_site_type_symbol
_atom_site_fract_x
_atom_site_fract_y
_atom_site_fract_z
Y1 Y 0.000 0.000 0.000
Zn1 Zn 0.428 0.572 0.500
Zn2 Zn 0.572 0.428 0.500
Cd1 Cd 0.172 0.828 0.500
Cd2 Cd 0.316 0.684 0.000
Cd3 Cd 0.684 0.316 0.000
Cd4 Cd 0.828 0.172 0.500
```

## Properties
- Total energy: -1.99 eV/atom
- Density: 7.4 g/cm3
- Total moment: 0.0 μB per formula unit
- Formation energy from the elements: -1.25 eV/f.u.

***

(6)
## Y2ZnCd (GGA-PBE)

Data for a geometry-optimized Y2ZnCd structure.

Cell and atoms, written as CIF:
```
data_Y2ZnCd
_chemical_formula_sum 'Y2 Zn1 Cd1'
_cell_length_a 7.166
_cell_length_b 7.166
_cell_length_c 7.166
_cell_angle_alpha 151.85
_cell_angle_beta 138.44
_cell_angle_gamma 50.95
_symmetry_space_group_name_H-M 'P 1'
_symmetry_Int_Tables_number 1
loop_
_symmetry_equiv_pos_as_xyz
'x,y,z'
loop_
_atom_site_label
_atom_site_type_symbol
_atom_site_fract_x
_atom_site_fract_y
_atom_site_fract_z
Y1 Y 0.218 0.218 0.000
Y2 Y 0.782 0.782 0.000
Zn1 Zn 0.000 0.000 0.000
Cd1 Cd 0.500 0.500 0.000
```

## Properties
- Total energy: -3.37 eV/atom
- Density: 5.2 g/cm3
- Total moment: 0.0 μB per formula unit
- E above lowest polymorph: 772 meV per atom
- Formation energy from the elements: 1.65 eV/f.u.

***

(7)
## Y3Zn2Cd2 (GGA-PBE)

Data for a geometry-optimized Y3Zn2Cd2 structure.

Cell and atoms, written as CIF:
```
data_Y3Zn2Cd2
_chemical_formula_sum 'Y3 Zn2 Cd2'
_cell_length_a 4.483
_cell_length_b 5.876
_cell_length_c 6.960
_cell_angle_alpha 96.73
_cell_angle_beta 90.11
_cell_angle_gamma 112.40
_symmetry_space_group_name_H-M 'P 1'
_symmetry_Int_Tables_number 1
loop_
_symmetry_equiv_pos_as_xyz
'x,y,z'
loop_
_atom_site_label
_atom_site_type_symbol
_atom_site_fract_x
_atom_site_fract_y
_atom_site_fract_z
Y1 Y 0.000 0.000 0.000
Y2 Y 0.363 0.728 0.639
Y3 Y 0.637 0.272 0.361
Zn1 Zn 0.092 0.181 0.626
Zn2 Zn 0.908 0.819 0.374
Cd1 Cd 0.310 0.621 0.146
Cd2 Cd 0.690 0.379 0.854
```

## Properties
- Total energy: -3.66 eV/atom
- Density: 6.1 g/cm3
- Total moment: 0.0 μB per formula unit
- Formation energy from the elements: -1.86 eV/f.u.

***

(8)
## Y2ZnCd (GGA-PBE)

Data for a geometry-optimized Y2ZnCd structure.

Cell and atoms, written as CIF:
```
data_Y2ZnCd
_chemical_formula_sum 'Y2 Zn1 Cd1'
_cell_length_a 3.618
_cell_length_b 3.618
_cell_length_c 7.526
_cell_angle_alpha 90.00
_cell_angle_beta 90.00
_cell_angle_gamma 90.00
_symmetry_space_group_name_H-M 'P 1'
_symmetry_Int_Tables_number 1
loop_
_symmetry_equiv_pos_as_xyz
'x,y,z'
loop_
_atom_site_label
_atom_site_type_symbol
_atom_site_fract_x
_atom_site_fract_y
_atom_site_fract_z
Y1 Y 0.000 0.000 0.232
Y2 Y 0.000 0.000 0.768
Zn1 Zn 0.500 0.500 0.000
Cd1 Cd 0.500 0.500 0.500
```

## Properties
- Total energy: -4.14 eV/atom
- Density: 6.0 g/cm3
- Total moment: 0.0 μB per formula unit
- E above lowest polymorph: 0 meV per atom
- Formation energy from the elements: -1.43 eV/f.u.